Record 1
# ReBP2O

A geometry-optimized ReBP2O structure (PBE, the Alexandria database).

Output
ΔE_f (raw): 0.910 eV per atom
polymorph energy (0 for the lowest one): 540 meV per atom
V: 84.2 Å³/cell

Unit cell a=4.5358 b=4.5358 c=4.0915 alpha=90.00 beta=90.00 gamma=90.00
With the nearest neighbours (Å) after each atom.
Element x y z (fractional)
Re 0.0000 0.0000 0.0000  2 B 2.05, 4 P 2.27
B 0.0000 0.0000 0.5000  2 Re 2.05
P 0.0000 0.5000 0.0000  2 Re 2.27
P 0.5000 0.0000 0.0000  2 Re 2.27
O 0.5000 0.5000 0.5000  8 P 3.05, 4 B 3.21


Record 2
# LiPa2In2S6

A geometry-optimized LiPa2In2S6 structure (PBE, the Alexandria database).

Output
ΔE_f (raw): -1.204 eV per atom
V: 308.9 Å³/cell

Unit cell a=6.9810 b=6.9810 c=7.6954 alpha=97.32 beta=97.32 gamma=121.44
With the nearest neighbours (Å) after each atom.
Element x y z (fractional)
Li 0.0000 0.0000 0.0000  2 S 2.61
Pa 0.3359 0.6641 0.0000  6 S 2.68-2.69
Pa 0.6641 0.3359 0.0000  6 S 2.68-2.69
In 0.1530 0.8470 0.5000  6 S 3.14-3.26
In 0.8470 0.1530 0.5000  6 S 3.14-3.26
S 0.0548 0.4246 0.2058  2 Pa 2.68-2.69, 1 Li 2.98
S 0.2741 0.2741 0.8189  1 Li 2.61, 2 Pa 2.68
S 0.4246 0.0548 0.2058  2 Pa 2.68-2.69, 1 Li 2.98
S 0.5754 0.9452 0.7942  2 Pa 2.68-2.69, 1 Li 2.98
S 0.7259 0.7259 0.1811  1 Li 2.61, 2 Pa 2.68
S 0.9452 0.5754 0.7942  2 Pa 2.68-2.69, 1 Li 2.98


Record 3
# CsNaZnF4

A geometry-optimized CsNaZnF4 structure (PBE, the Alexandria database).

Output
ΔE_f (raw): -2.542 eV per atom
V: 283.1 Å³/cell

Unit cell a=6.0989 b=6.2417 c=7.8000 alpha=90.00 beta=107.58 gamma=90.00
With the nearest neighbours (Å) after each atom.
Element x y z (fractional)
Cs 0.2314 0.2500 0.4449  6 F 2.93-3.24
Cs 0.7686 0.7500 0.5551  6 F 2.93-3.24
Na 0.3524 0.2500 0.9867  5 F 2.26-2.41
Na 0.6476 0.7500 0.0133  5 F 2.26-2.41
Zn 0.2335 0.7500 0.1606  4 F 1.90-1.96
Zn 0.7665 0.2500 0.8394  4 F 1.90-1.96
F 0.0168 0.2500 0.0548  1 Zn 1.90
F 0.1205 0.7500 0.3653  1 Zn 1.92
F 0.4670 0.5269 0.1844  1 Zn 1.96
F 0.4670 0.9731 0.1844  1 Zn 1.96
F 0.5330 0.0269 0.8156  1 Zn 1.96
F 0.5330 0.4731 0.8156  1 Zn 1.96
F 0.8795 0.2500 0.6347  1 Zn 1.92
F 0.9832 0.7500 0.9452  1 Zn 1.90


Record 4
# Tb4DyIr5

A geometry-optimized Tb4DyIr5 structure (PBE, the Alexandria database).

Output
E_form: -0.78 eV per atom
V: 203.3 Å³/cell

Unit cell a=3.3702 b=3.3702 c=17.8992 alpha=90.00 beta=90.00 gamma=90.00
With the nearest neighbours (Å) after each atom.
Element x y z (fractional)
Tb 0.0000 0.0000 0.1002  8 Ir 2.98
Tb 0.0000 0.0000 0.3006  8 Ir 2.98
Tb 0.0000 0.0000 0.6994  8 Ir 2.98
Tb 0.0000 0.0000 0.8998  8 Ir 2.98
Dy 0.0000 0.0000 0.5000  8 Ir 2.97
Ir 0.5000 0.5000 0.0000  8 Tb 2.98
Ir 0.5000 0.5000 0.2005  8 Tb 2.98
Ir 0.5000 0.5000 0.4010  4 Dy 2.97, 4 Tb 2.98
Ir 0.5000 0.5000 0.5990  4 Dy 2.97, 4 Tb 2.98
Ir 0.5000 0.5000 0.7995  8 Tb 2.98


Record 5
# KSrRh4

A geometry-optimized KSrRh4 structure (PBE, the Alexandria database).

Output
E_form: 0.14 eV per atom
V: 116.6 Å³/cell

Unit cell a=5.4830 b=5.4830 c=5.4830 alpha=60.00 beta=60.00 gamma=60.00
With the nearest neighbours (Å) after each atom.
Element x y z (fractional)
K 0.0000 0.0000 0.0000  12 Rh 3.21, 4 Sr 3.36
Sr 0.2500 0.2500 0.2500  12 Rh 3.21, 4 K 3.36
Rh 0.1253 0.6249 0.6249  6 Rh 2.74
Rh 0.6249 0.1253 0.6249  6 Rh 2.74
Rh 0.6249 0.6249 0.1253  6 Rh 2.74
Rh 0.6249 0.6249 0.6249  6 Rh 2.74


Record 6
# Cd2SeCl

A geometry-optimized Cd2SeCl structure (PBE, the Alexandria database).

Output
ΔE_f (raw): 0.006 eV per atom
polymorph energy (0 for the lowest one): 518 meV per atom
V: 90.9 Å³/cell

Unit cell a=5.0472 b=5.0472 c=5.0472 alpha=60.00 beta=60.00 gamma=60.00
With the nearest neighbours (Å) after each atom.
Element x y z (fractional)
Cd 0.0000 0.0000 0.0000  4 Cl 3.09, 4 Cd 3.09
Cd 0.2500 0.2500 0.2500  4 Se 3.09, 4 Cd 3.09
Se 0.5000 0.5000 0.5000  4 Cl 3.09, 4 Cd 3.09
Cl 0.7500 0.7500 0.7500  4 Se 3.09, 4 Cd 3.09


Record 7
# TaTlW4

A geometry-optimized TaTlW4 structure (PBE, the Alexandria database).

Output
E_form: 0.47 eV per atom
V: 108.3 Å³/cell

Unit cell a=5.3511 b=5.3511 c=5.3511 alpha=60.00 beta=60.00 gamma=60.00
With the nearest neighbours (Å) after each atom.
Element x y z (fractional)
Ta 0.0000 0.0000 0.0000  12 W 3.14, 4 Tl 3.28
Tl 0.7500 0.7500 0.7500  12 W 3.14, 4 Ta 3.28
W 0.3757 0.3757 0.3757  6 W 2.66-2.69
W 0.3757 0.3757 0.8730  6 W 2.66-2.69
W 0.3757 0.8730 0.3757  6 W 2.66-2.69
W 0.8730 0.3757 0.3757  6 W 2.66-2.69


Record 8
# Te2PtPb

A geometry-optimized Te2PtPb structure (PBE, the Alexandria database).

Output
ΔE_f (raw): -0.105 eV per atom
V: 282.4 Å³/cell

Unit cell a=8.0051 b=8.0051 c=8.0051 alpha=131.43 beta=131.43 gamma=71.14
With the nearest neighbours (Å) after each atom.
Element x y z (fractional)
Te 0.0626 0.6250 0.9376  2 Pt 2.62
Te 0.3750 0.3126 0.4376  2 Pt 2.62
Te 0.6874 0.1250 0.0624  2 Pt 2.62
Te 0.8750 0.9374 0.5624  2 Pt 2.62
Pt 0.0000 0.0000 0.0000  4 Te 2.62
Pt 0.7500 0.2500 0.5000  4 Te 2.62
Pb 0.2500 0.7500 0.5000  4 Te 3.10
Pb 0.5000 0.5000 0.0000  4 Te 3.10